First-principles (GGA-PBE) data for a geometry-optimized UZn2Rh5 structure, as listed in the Alexandria database.

```
8
Lattice="3.9906 0.0000 -1.0969 -0.3015 3.9792 -1.0969 -0.0550 -0.0593 7.6071" Properties=species:S:1:pos:R:3 pbc="T T T"
Rh 1.8445 1.9896 -1.0969
Rh 1.1623 3.4059 4.2283
Rh 0.3257 2.5035 1.1849
Rh 2.4718 0.5139 1.1849
Rh 3.3084 1.4163 4.2283
Zn 0.8967 0.9673 3.2622
Zn 2.7373 2.9526 2.1510
U 0.0000 0.0000 0.0000
```

Summary:
Space-group type ... I4/mmm, No. 139
Uncorrected energy ... -6.881 eV per atom
DFT formation energy ... -0.5564 eV/atom

First-principles (GGA-PBE) data for a geometry-optimized LiBC structure, as listed in the Alexandria database.

```
6
Lattice="-4.3175 1.4455 1.2234 3.3112 -2.0686 2.6428 1.4800 3.6033 0.9660" Properties=species:S:1:pos:R:3 pbc="T T T"
C -1.0655 1.0187 2.0011
C 1.5392 1.9614 2.8311
Li 2.0057 -0.3960 2.5726
Li -1.5320 3.3761 2.2597
B 0.2368 1.4901 2.4161
B -0.5032 -0.3116 1.9331
```

Summary:
Space-group type ... Cmcm, No. 63
Uncorrected energy ... -5.876 eV per atom
DFT formation energy ... 0.0628 eV/atom